# 1
# Sc4InAu2 (PBE, relaxed)
# - E_tot (eV/atom) = -5.32
# - total magnetization (μB/f.u.) = 0.00
# - polymorph energy (0 for the lowest one) (meV/atom) = 143.6
# - formation energy (meV/atom) = -374.6
data_Sc4InAu2
_cell_length_a 9.6182
_cell_length_b 9.6182
_cell_length_c 9.6182
_cell_angle_alpha 27.70
_cell_angle_beta 27.70
_cell_angle_gamma 27.70
_space_group_name_H-M_alt 'P 1'
_space_group_IT_number 1
_space_group_name_Hall 'P 1'
loop_
_atom_site_label
_atom_site_fract_x
_atom_site_fract_y
_atom_site_fract_z
Sc1 0.1157 0.1157 0.1157
Sc2 0.2983 0.2983 0.2983
Sc3 0.7017 0.7017 0.7017
Sc4 0.8843 0.8843 0.8843
In1 0.5000 0.5000 0.5000
Au1 0.3984 0.3984 0.3984
Au2 0.6016 0.6016 0.6016

=====

# 2
# Na2NbTlPd (PBE, relaxed)
# - E_tot (eV/atom) = -3.10
# - total magnetization (μB/f.u.) = 3.32
# - formation energy (meV/atom) = 957.1
data_Na2NbTlPd
_cell_length_a 5.8708
_cell_length_b 5.8708
_cell_length_c 4.8507
_cell_angle_alpha 90.00
_cell_angle_beta 90.00
_cell_angle_gamma 90.00
_space_group_name_H-M_alt 'P 1'
_space_group_IT_number 1
_space_group_name_Hall 'P 1'
loop_
_atom_site_label
_atom_site_fract_x
_atom_site_fract_y
_atom_site_fract_z
Na1 0.0000 0.5000 0.0000
Na2 0.5000 0.0000 0.0000
Nb1 0.0000 0.0000 0.0000
Tl1 0.5000 0.5000 0.5000
Pd1 0.0000 0.0000 0.5000

=====

# 3
# Sr2MoPb (PBE, relaxed)
# - E_tot (eV/atom) = -3.94
# - total magnetization (μB/f.u.) = 3.79
# - formation energy (meV/atom) = 532.9
data_Sr2MoPb
_cell_length_a 5.5184
_cell_length_b 5.5184
_cell_length_c 5.5184
_cell_angle_alpha 120.31
_cell_angle_beta 120.31
_cell_angle_gamma 89.46
_space_group_name_H-M_alt 'P 1'
_space_group_IT_number 1
_space_group_name_Hall 'P 1'
loop_
_atom_site_label
_atom_site_fract_x
_atom_site_fract_y
_atom_site_fract_z
Sr1 0.0000 0.0000 0.0000
Sr2 0.7500 0.2500 0.5000
Mo1 0.2500 0.7500 0.5000
Pb1 0.5000 0.5000 0.0000

=====

# 4
# Pm3Mg4Hg2 (PBE, relaxed)
# - E_tot (eV/atom) = -2.62
# - total magnetization (μB/f.u.) = 0.00
# - formation energy (meV/atom) = -264.6
data_Pm3Mg4Hg2
_cell_length_a 6.1453
_cell_length_b 6.1453
_cell_length_c 9.5424
_cell_angle_alpha 119.13
_cell_angle_beta 119.13
_cell_angle_gamma 49.43
_space_group_name_H-M_alt 'P 1'
_space_group_IT_number 1
_space_group_name_Hall 'P 1'
loop_
_atom_site_label
_atom_site_fract_x
_atom_site_fract_y
_atom_site_fract_z
Pm1 0.0000 0.0000 0.0000
Pm2 0.3374 0.3374 0.3308
Pm3 0.6626 0.6626 0.6692
Mg1 0.0694 0.0694 0.3979
Mg2 0.2864 0.2864 0.9486
Mg3 0.7136 0.7136 0.0514
Mg4 0.9306 0.9306 0.6021
Hg1 0.3886 0.3886 0.7227
Hg2 0.6114 0.6114 0.2773

=====

# 5
# Tb3Ho8Er4 (PBE, relaxed)
# - E_tot (eV/atom) = -4.43
# - total magnetization (μB/f.u.) = 0.02
# - polymorph energy (0 for the lowest one) (meV/atom) = 0.0
# - formation energy (meV/atom) = 153.0
data_Tb3Ho8Er4
_cell_length_a 12.2896
_cell_length_b 12.2896
_cell_length_c 12.2896
_cell_angle_alpha 32.44
_cell_angle_beta 32.44
_cell_angle_gamma 32.44
_space_group_name_H-M_alt 'P 1'
_space_group_IT_number 1
_space_group_name_Hall 'P 1'
loop_
_atom_site_label
_atom_site_fract_x
_atom_site_fract_y
_atom_site_fract_z
Tb1 0.0000 0.5000 0.5000
Tb2 0.5000 0.0000 0.5000
Tb3 0.5000 0.5000 0.0000
Ho1 0.2507 0.2507 0.7487
Ho2 0.2507 0.7487 0.2507
Ho3 0.2513 0.7493 0.7493
Ho4 0.2546 0.2546 0.2546
Ho5 0.7454 0.7454 0.7454
Ho6 0.7487 0.2507 0.2507
Ho7 0.7493 0.2513 0.7493
Ho8 0.7493 0.7493 0.2513
Er1 0.0000 0.0000 0.0000
Er2 0.1638 0.1638 0.1638
Er3 0.5000 0.5000 0.5000
Er4 0.8362 0.8362 0.8362

=====

# 6
# Pr6Sm2Ho3Mg (PBE, relaxed)
# - E_tot (eV/atom) = -4.44
# - total magnetization (μB/f.u.) = 0.00
# - formation energy (meV/atom) = 13.9
data_Pr6Sm2Ho3Mg
_cell_length_a 6.2802
_cell_length_b 6.2802
_cell_length_c 11.8982
_cell_angle_alpha 95.06
_cell_angle_beta 95.06
_cell_angle_gamma 120.04
_space_group_name_H-M_alt 'P 1'
_space_group_IT_number 1
_space_group_name_Hall 'P 1'
loop_
_atom_site_label
_atom_site_fract_x
_atom_site_fract_y
_atom_site_fract_z
Pr1 0.0831 0.4144 0.7512
Pr2 0.2482 0.2482 0.2479
Pr3 0.4144 0.0831 0.7512
Pr4 0.5856 0.9169 0.2488
Pr5 0.7518 0.7518 0.7521
Pr6 0.9169 0.5856 0.2488
Sm1 0.3331 0.6669 0.5000
Sm2 0.6669 0.3331 0.5000
Ho1 0.1662 0.8338 0.0000
Ho2 0.5000 0.5000 0.0000
Ho3 0.8338 0.1662 0.0000
Mg1 0.0000 0.0000 0.5000

=====

# 7
# MnInRu4 (PBE, relaxed)
# - E_tot (eV/atom) = -7.78
# - total magnetization (μB/f.u.) = 2.76
# - formation energy (meV/atom) = 393.2
data_MnInRu4
_cell_length_a 5.1443
_cell_length_b 5.1443
_cell_length_c 5.1443
_cell_angle_alpha 60.00
_cell_angle_beta 60.00
_cell_angle_gamma 60.00
_space_group_name_H-M_alt 'P 1'
_space_group_IT_number 1
_space_group_name_Hall 'P 1'
loop_
_atom_site_label
_atom_site_fract_x
_atom_site_fract_y
_atom_site_fract_z
Mn1 0.0000 0.0000 0.0000
In1 0.2500 0.2500 0.2500
Ru1 0.1245 0.6252 0.6252
Ru2 0.6252 0.1245 0.6252
Ru3 0.6252 0.6252 0.1245
Ru4 0.6252 0.6252 0.6252

=====

# 8
# RbTlAgW2 (PBE, relaxed)
# - E_tot (eV/atom) = -4.07
# - total magnetization (μB/f.u.) = 5.91
# - formation energy (meV/atom) = 2349.4
data_RbTlAgW2
_cell_length_a 5.1498
_cell_length_b 5.1498
_cell_length_c 5.9857
_cell_angle_alpha 90.00
_cell_angle_beta 90.00
_cell_angle_gamma 90.00
_space_group_name_H-M_alt 'P 1'
_space_group_IT_number 1
_space_group_name_Hall 'P 1'
loop_
_atom_site_label
_atom_site_fract_x
_atom_site_fract_y
_atom_site_fract_z
Rb1 0.0000 0.0000 0.0000
Tl1 0.5000 0.5000 0.0000
Ag1 0.0000 0.0000 0.5000
W1 0.0000 0.5000 0.5000
W2 0.5000 0.0000 0.5000